No. 1
Below is a geometry-optimized Ba5H3Cl12 structure, with properties calculated at the PBE level.

Lattice parameters (Å, degrees): 16.679 16.679 16.679 109.47 109.47 109.47
Positions (direct):
Ba  0.000  0.000  0.000
Ba  0.000  0.000  0.500
Ba  0.000  0.500  0.000
Ba  0.000  0.500  0.500
Ba  0.125  0.750  0.875
Ba  0.125  0.875  0.250
Ba  0.250  0.125  0.875
Ba  0.250  0.625  0.375
Ba  0.375  0.250  0.625
Ba  0.375  0.625  0.750
Ba  0.500  0.000  0.000
Ba  0.500  0.000  0.500
Ba  0.500  0.500  0.000
Ba  0.500  0.500  0.500
Ba  0.625  0.375  0.250
Ba  0.625  0.750  0.375
Ba  0.750  0.375  0.625
Ba  0.750  0.875  0.125
Ba  0.875  0.125  0.750
Ba  0.875  0.250  0.125
H  0.125  0.250  0.375
H  0.125  0.375  0.750
H  0.250  0.375  0.125
H  0.250  0.875  0.625
H  0.375  0.125  0.250
H  0.375  0.750  0.125
H  0.625  0.250  0.875
H  0.625  0.875  0.750
H  0.750  0.125  0.375
H  0.750  0.625  0.875
H  0.875  0.625  0.250
H  0.875  0.750  0.625
Cl  0.019  0.205  0.084
Cl  0.019  0.314  0.936
Cl  0.064  0.584  0.379
Cl  0.064  0.981  0.686
Cl  0.084  0.019  0.205
Cl  0.084  0.564  0.879
Cl  0.121  0.705  0.686
Cl  0.121  0.916  0.436
Cl  0.186  0.205  0.621
Cl  0.186  0.481  0.564
Cl  0.205  0.084  0.019
Cl  0.205  0.621  0.186
Cl  0.295  0.314  0.879
Cl  0.295  0.481  0.416
Cl  0.314  0.879  0.295
Cl  0.314  0.936  0.019
Cl  0.379  0.064  0.584
Cl  0.379  0.814  0.795
Cl  0.416  0.295  0.481
Cl  0.416  0.621  0.936
Cl  0.436  0.121  0.916
Cl  0.436  0.814  0.519
Cl  0.481  0.416  0.295
Cl  0.481  0.564  0.186
Cl  0.519  0.436  0.814
Cl  0.519  0.584  0.705
Cl  0.564  0.186  0.481
Cl  0.564  0.879  0.084
Cl  0.584  0.379  0.064
Cl  0.584  0.705  0.519
Cl  0.621  0.186  0.205
Cl  0.621  0.936  0.416
Cl  0.686  0.064  0.981
Cl  0.686  0.121  0.705
Cl  0.705  0.519  0.584
Cl  0.705  0.686  0.121
Cl  0.795  0.379  0.814
Cl  0.795  0.916  0.981
Cl  0.814  0.519  0.436
Cl  0.814  0.795  0.379
Cl  0.879  0.084  0.564
Cl  0.879  0.295  0.314
Cl  0.916  0.436  0.121
Cl  0.916  0.981  0.795
Cl  0.936  0.019  0.314
Cl  0.936  0.416  0.621
Cl  0.981  0.686  0.064
Cl  0.981  0.795  0.916

Values from the calculation:
As for the total magnetic moment: 4.9 μB/f.u. As for the total energy: -0.2496 Ry per atom. The mass density comes out at 2074 kg/m³.

---

No. 2
Below is a geometry-optimized BaH2Cl2 structure, with properties calculated at the PBE level.

Lattice parameters (Å, degrees): 7.364 8.440 10.888 90.00 132.33 90.00
Positions (direct):
Ba  0.175  0.249  0.175
Ba  0.175  0.251  0.675
Ba  0.825  0.749  0.325
Ba  0.825  0.751  0.825
H  0.325  0.102  0.470
H  0.325  0.398  0.970
H  0.387  0.605  0.527
H  0.387  0.895  0.027
H  0.613  0.105  0.973
H  0.613  0.395  0.473
H  0.675  0.602  0.030
H  0.675  0.898  0.530
Cl  0.073  0.077  0.876
Cl  0.073  0.423  0.376
Cl  0.321  0.576  0.123
Cl  0.321  0.924  0.623
Cl  0.679  0.076  0.377
Cl  0.679  0.424  0.877
Cl  0.927  0.577  0.624
Cl  0.927  0.923  0.124

Values from the calculation:
As for the total magnetic moment: 2.0 μB/f.u. As for the total energy: -0.2240 Ry per atom. The mass density comes out at 2792 kg/m³. The value obtained for the energy relative to the lowest polymorph listed for this composition is 0.9008 eV/atom.

---

No. 3
Below is a geometry-optimized Ba2H2Cl structure, with properties calculated at the PBE level.

Lattice parameters (Å, degrees): 7.806 7.806 3.615 90.00 90.00 90.00
Positions (direct):
Ba  0.172  0.328  0.000
Ba  0.328  0.828  0.000
Ba  0.672  0.172  0.000
Ba  0.828  0.672  0.000
H  0.119  0.619  0.500
H  0.381  0.119  0.500
H  0.619  0.881  0.500
H  0.881  0.381  0.500
Cl  0.000  0.000  0.500
Cl  0.500  0.500  0.500

Values from the calculation:
As for the total magnetic moment: 0.0 μB/f.u. As for the total energy: -0.2443 Ry per atom. The mass density comes out at 4706 kg/m³. The value obtained for the energy relative to the lowest polymorph listed for this composition is 0.0000 eV/atom.

---

No. 4
Below is a geometry-optimized BaH2ICl structure, with properties calculated at the PBE level.

Lattice parameters (Å, degrees): 4.771 4.771 7.060 90.00 90.00 90.00
Positions (direct):
Ba  0.000  0.000  0.000
H  0.000  0.500  0.000
H  0.500  0.000  0.000
I  0.000  0.000  0.500
Cl  0.500  0.500  0.500

Values from the calculation:
As for the total magnetic moment: 0.7 μB/f.u. As for the total energy: -0.1802 Ry per atom. The mass density comes out at 3117 kg/m³.

---

No. 5
Below is a geometry-optimized Ba6HIr2Cl3 structure, with properties calculated at the PBE level.

Lattice parameters (Å, degrees): 7.647 7.647 8.375 98.77 98.77 120.02
Positions (direct):
Ba  0.092  0.428  0.783
Ba  0.236  0.236  0.218
Ba  0.428  0.092  0.783
Ba  0.572  0.908  0.217
Ba  0.764  0.764  0.782
Ba  0.908  0.572  0.217
H  0.500  0.500  0.000
Ir  0.166  0.834  0.000
Ir  0.834  0.166  0.000
Cl  0.000  0.000  0.500
Cl  0.329  0.671  0.500
Cl  0.671  0.329  0.500

Values from the calculation:
As for the total magnetic moment: 0.0 μB/f.u. As for the total energy: -0.3113 Ry per atom. The mass density comes out at 5410 kg/m³.

---

No. 6
Below is a geometry-optimized Ba2HIrCl structure, with properties calculated at the PBE level.

Lattice parameters (Å, degrees): 5.660 5.660 3.745 90.00 90.00 90.00
Positions (direct):
Ba  0.000  0.500  0.000
Ba  0.500  0.000  0.000
H  0.000  0.000  0.000
Ir  0.000  0.000  0.500
Cl  0.500  0.500  0.500

Values from the calculation:
As for the total magnetic moment: 0.0 μB/f.u. As for the total energy: -0.3226 Ry per atom. The mass density comes out at 6966 kg/m³.